No. 1
DFT (PBE) results for a relaxed structure of K3Dy3TcO8.

abc: 6.7783 6.7783 7.4056
angles: 117.24 90.00 120.00
With the nearest neighbours (Å) after each atom.
Positions (direct):
1 K 0.0000 0.0000 0.0000  6 O 2.79
2 K 0.0000 0.5000 0.0000  6 O 2.79
3 K 0.5000 0.5000 0.0000  6 O 2.79
4 Dy 0.5000 0.0000 0.5000  6 O 2.27-2.31
5 Dy 0.5000 0.5000 0.5000  6 O 2.27-2.31
6 Dy 0.0000 0.5000 0.5000  6 O 2.27-2.31
7 Tc 0.0000 0.0000 0.5000  6 O 2.10
8 O 0.2724 0.5448 0.3173  3 Dy 2.27
9 O 0.7276 0.4552 0.6827  3 Dy 2.27
10 O 0.7888 0.5777 0.3267  1 Tc 2.10, 2 Dy 2.31
11 O 0.2112 0.4223 0.6733  1 Tc 2.10, 2 Dy 2.31
12 O 0.7889 0.0378 0.3267  1 Tc 2.10, 2 Dy 2.31
13 O 0.2111 0.9622 0.6733  1 Tc 2.10, 2 Dy 2.31
14 O 0.2489 0.0378 0.3267  1 Tc 2.10, 2 Dy 2.31
15 O 0.7511 0.9622 0.6733  1 Tc 2.10, 2 Dy 2.31

- raw formation energy (kJ per mole of atoms) = -240.5

=====

No. 2
DFT (PBE) results for a relaxed structure of K3DyTc2O8.

abc: 6.0637 6.0637 7.7698
angles: 90.00 90.00 120.00
With the nearest neighbours (Å) after each atom.
Positions (direct):
1 K 0.3333 0.6667 0.6617  1 O 2.58
2 K 0.6667 0.3333 0.3383  1 O 2.58
3 K 0.0000 0.0000 0.0000  6 O 3.11
4 Dy 0.0000 0.0000 0.5000  6 O 2.26
5 Tc 0.3333 0.6667 0.2220  4 O 1.77-1.88
6 Tc 0.6667 0.3333 0.7780  4 O 1.77-1.88
7 O 0.3333 0.6667 0.9942  1 Tc 1.77
8 O 0.6667 0.3333 0.0058  1 Tc 1.77
9 O 0.1720 0.8280 0.3256  1 Tc 1.88
10 O 0.8280 0.1720 0.6744  1 Tc 1.88
11 O 0.1720 0.3441 0.3256  1 Tc 1.88
12 O 0.8280 0.6559 0.6744  1 Tc 1.88
13 O 0.6559 0.8280 0.3256  1 Tc 1.88
14 O 0.3441 0.1720 0.6744  1 Tc 1.88

- raw formation energy (kJ per mole of atoms) = -182.7
- DOS(E_F) (states/eV/cell) = 1.04

=====

No. 3
DFT (PBE) results for a relaxed structure of K2Dy2TcO6.

abc: 5.7734 5.7734 6.5908
angles: 97.77 97.77 119.54
With the nearest neighbours (Å) after each atom.
Positions (direct):
1 K 0.8385 0.1615 0.0000  6 O 2.73-2.98
2 K 0.1615 0.8385 0.0000  6 O 2.73-2.98
3 Dy 0.3351 0.6649 0.5000  6 O 2.27-2.30
4 Dy 0.6649 0.3351 0.5000  6 O 2.27-2.30
5 Tc 0.0000 0.0000 0.5000  6 O 2.08-2.10
6 O 0.7506 0.7506 0.6743  1 Tc 2.08, 2 Dy 2.29
7 O 0.0488 0.3618 0.6723  1 Tc 2.10, 2 Dy 2.27-2.30
8 O 0.2494 0.2494 0.3257  1 Tc 2.08, 2 Dy 2.29
9 O 0.3618 0.0488 0.6723  1 Tc 2.10, 2 Dy 2.27-2.30
10 O 0.9512 0.6382 0.3277  1 Tc 2.10, 2 Dy 2.27-2.30
11 O 0.6382 0.9512 0.3277  1 Tc 2.10, 2 Dy 2.27-2.30

- raw formation energy (kJ per mole of atoms) = -229.5

=====

No. 4
DFT (PBE) results for a relaxed structure of KDyTc2O8.

abc: 5.9817 5.9817 7.6154
angles: 90.00 90.00 120.00
With the nearest neighbours (Å) after each atom.
Positions (direct):
1 K 0.0000 0.0000 0.0000  6 O 2.98
2 Dy 0.0000 0.0000 0.5000  6 O 2.25
3 Tc 0.6667 0.3333 0.2362  4 O 1.74-1.80
4 Tc 0.3333 0.6667 0.7638  4 O 1.74-1.80
5 O 0.3333 0.6667 0.9929  1 Tc 1.74
6 O 0.3398 0.1704 0.3163  1 Tc 1.80
7 O 0.8296 0.1695 0.3163  1 Tc 1.80
8 O 0.6667 0.3333 0.0071  1 Tc 1.74
9 O 0.1704 0.8305 0.6837  1 Tc 1.80
10 O 0.6602 0.8296 0.6837  1 Tc 1.80
11 O 0.1695 0.3398 0.6837  1 Tc 1.80
12 O 0.8305 0.6602 0.3163  1 Tc 1.80

- raw formation energy (kJ per mole of atoms) = -185.7
- DOS(E_F) (states/eV/cell) = 7.01

=====

No. 5
DFT (PBE) results for a relaxed structure of K4DyTe3O12.

abc: 7.1478 7.1478 7.1478
angles: 109.47 109.47 109.47
With the nearest neighbours (Å) after each atom.
Positions (direct):
1 K 0.5000 0.5000 0.5000  12 O 2.92
2 K 0.0000 0.0000 0.5000  12 O 2.92
3 K 0.5000 0.0000 0.0000  12 O 2.92
4 K 0.0000 0.5000 0.0000  12 O 2.92
5 Dy 0.0000 0.0000 0.0000  6 O 2.22
6 Te 0.5000 0.0000 0.5000  6 O 1.91-2.06
7 Te 0.5000 0.5000 0.0000  6 O 1.91-2.06
8 Te 0.0000 0.5000 0.5000  6 O 1.91-2.06
9 O 0.2500 0.5000 0.7500  2 Te 2.06
10 O 0.7314 0.0000 0.7314  1 Te 1.91
11 O 0.2686 0.0000 0.2686  1 Te 1.91
12 O 0.7500 0.5000 0.2500  2 Te 2.06
13 O 0.7314 0.7314 0.0000  1 Te 1.91
14 O 0.2686 0.2686 0.0000  1 Te 1.91
15 O 0.7500 0.2500 0.5000  2 Te 2.06
16 O 0.2500 0.7500 0.5000  2 Te 2.06
17 O 0.5000 0.2500 0.7500  2 Te 2.06
18 O 0.0000 0.7314 0.7314  1 Te 1.91
19 O 0.5000 0.7500 0.2500  2 Te 2.06
20 O 0.0000 0.2686 0.2686  1 Te 1.91

- raw formation energy (kJ per mole of atoms) = -150.8
- DOS(E_F) (states/eV/cell) = 3.70

=====

No. 6
DFT (PBE) results for a relaxed structure of KDyTe2O8.

abc: 5.9942 5.9942 7.6789
angles: 90.00 90.00 120.00
With the nearest neighbours (Å) after each atom.
Positions (direct):
1 K 0.0000 0.0000 0.0000  6 O 2.98
2 Dy 0.0000 0.0000 0.5000  6 O 2.24
3 Te 0.6667 0.3333 0.2312  4 O 1.82-1.84
4 Te 0.3333 0.6667 0.7688  4 O 1.82-1.84
5 O 0.3333 0.6667 0.0057  1 Te 1.82
6 O 0.3345 0.1798 0.3155  1 Te 1.84
7 O 0.8202 0.1547 0.3155  1 Te 1.84
8 O 0.6667 0.3333 0.9943  1 Te 1.82
9 O 0.1798 0.8453 0.6845  1 Te 1.84
10 O 0.6655 0.8202 0.6845  1 Te 1.84
11 O 0.1547 0.3345 0.6845  1 Te 1.84
12 O 0.8453 0.6655 0.3155  1 Te 1.84

- raw formation energy (kJ per mole of atoms) = -152.3
- DOS(E_F) (states/eV/cell) = 0.00

=====

Number 1: VASP energy -104.52 eV per cell, M_tot 0.200 μB/atom. Number 2: VASP energy -94.80 eV per cell, M_tot 0.287 μB/atom. Number 3: VASP energy -77.68 eV per cell, M_tot 0.273 μB/atom. Number 4: VASP energy -89.19 eV per cell, M_tot 0.170 μB/atom. Number 5: VASP energy -109.18 eV per cell, M_tot 0.000 μB/atom. Number 6: VASP energy -70.59 eV per cell, M_tot 0.000 μB/atom.